No. 1
This record from Alexandria describes a relaxed structure of SrIn2W. The functional is PBE.

The structure in POSCAR format:
```
SrIn2W
1.0
3.183 0.000 0.000
0.000 4.091 0.000
0.000 0.000 7.978
Sr In W
1 2 1
direct
0.000 0.000 0.000
0.000 0.000 0.433
0.500 0.500 0.674
0.500 0.500 0.290
```

Calculated values
Crystal system   orthorhombic
Formation enthalpy at 0 K   0.584 eV per atom
Space-group type   Pmm2 (25)
Density of states at the Fermi level   3.6 states/eV/f.u.
Theoretical density   8.0 Mg/m³
Total moment   0.00 Bohr magnetons per cell
Energy   -17.8 eV for the cell shown



No. 2
This record from Alexandria describes a relaxed structure of CeMg14Ti. The functional is PBE.

The structure in POSCAR format:
```
CeMg14Ti
1.0
10.462 0.000 0.000
0.000 3.088 5.736
0.000 -3.088 5.736
Ce Mg Ti
1 14 1
direct
0.000 0.000 0.000
0.000 0.001 0.497
0.000 0.497 0.001
0.237 0.647 0.647
0.252 0.155 0.649
0.252 0.649 0.155
0.260 0.154 0.154
0.500 0.493 0.493
0.500 0.494 0.989
0.500 0.989 0.494
0.500 0.990 0.990
0.740 0.154 0.154
0.748 0.155 0.649
0.748 0.649 0.155
0.763 0.647 0.647
0.000 0.488 0.488
```

Calculated values
Crystal system   orthorhombic
Formation enthalpy at 0 K   0.067 eV per atom
Space-group type   Amm2 (38)
Density of states at the Fermi level   12.8 states/eV/f.u.
Theoretical density   2.4 Mg/m³
Total moment   2.93 Bohr magnetons per cell
Energy   -35.1 eV for the cell shown